Record 1
Density functional theory data (PBE) for a relaxed structure of La2Sm3Sc.

```
La2Sm3Sc
1.0
7.0334 0.0000 0.0000
0.0000 9.8992 0.0000
0.0000 0.0000 5.6890
La Sm Sc
4 6 2
Cartesian
1.7228 1.6638 0.0000
1.7938 6.6134 2.8445
5.2395 3.2858 2.8445
5.3105 8.2354 0.0000
0.0000 4.9496 0.0000
1.7505 8.2422 0.0000
1.7662 3.2926 2.8445
3.5167 0.0000 2.8445
5.2672 6.6066 2.8445
5.2829 1.6570 0.0000
0.0000 0.0000 2.8445
3.5167 4.9496 0.0000
```

Computed properties:
Fermi-level density of states = 11.4 states/eV/f.u.
total DFT energy (no corrections) = -4.956 eV/atom
energy above the lowest structure with this stoichiometry = 0.0 meV/atom
formation energy from the elements = 0.6 eV per formula unit


Record 2
Density functional theory data (PBE) for a relaxed structure of TlAsHPd3.

```
TlAsHPd3
1.0
3.2388 -5.5118 0.0000
3.2388 5.5118 0.0000
0.0000 0.0000 5.6701
Tl As H Pd
2 2 2 6
Cartesian
3.2388 2.7951 4.2526
3.2388 -2.7951 1.4175
3.2388 0.9012 1.4175
3.2388 -0.9012 4.2526
3.2388 5.2343 1.4175
3.2388 -5.2343 4.2526
3.2388 3.3258 1.4175
1.3995 0.0000 0.0000
1.3995 0.0000 2.8350
5.0781 0.0000 0.0000
5.0781 0.0000 2.8350
3.2388 -3.3258 4.2526
```

Computed properties:
Fermi-level density of states = 3.3 states/eV/f.u.
total DFT energy (no corrections) = -4.483 eV/atom


Record 3
Density functional theory data (PBE) for a relaxed structure of TaGaFe2H.

```
TaGaFe2H
1.0
3.7725 0.0000 0.0000
0.0000 3.7725 0.0000
0.0000 0.0000 4.0743
Ta Ga Fe H
1 1 2 1
Cartesian
0.0000 0.0000 0.0000
1.8863 1.8863 0.0000
0.0000 1.8863 2.0371
1.8863 0.0000 2.0371
0.0000 0.0000 2.0371
```

Computed properties:
Fermi-level density of states = 3.0 states/eV/f.u.
total DFT energy (no corrections) = -7.084 eV/atom


Record 4
Density functional theory data (PBE) for a relaxed structure of NbVC2S.

```
NbVC2S
1.0
3.8005 0.0000 0.0000
0.0000 3.8005 0.0000
0.0000 0.0000 4.2933
Nb V C S
1 1 2 1
Cartesian
0.0000 0.0000 0.0000
1.9003 1.9003 0.0000
0.0000 1.9003 2.1466
1.9003 0.0000 2.1466
1.9003 1.9003 2.1466
```

Computed properties:
Fermi-level density of states = 4.5 states/eV/f.u.
total DFT energy (no corrections) = -6.420 eV/atom
E_form (uncorrected) = 44.6 kcal/mol of atoms


Record 5
Density functional theory data (PBE) for a relaxed structure of InBiH.

```
InBiH
1.0
-2.2426 2.2426 3.6492
2.2426 -2.2426 3.6492
2.2426 2.2426 -3.6492
In Bi H
1 1 1
Cartesian
0.0000 0.0000 0.0000
0.0000 0.0000 3.9465
0.0000 0.0000 1.9951
```

Computed properties:
Fermi-level density of states = 2.1 states/eV/f.u.
total DFT energy (no corrections) = -3.055 eV/atom
energy above the lowest structure with this stoichiometry = 203.0 meV/atom


Record 6
Density functional theory data (PBE) for a relaxed structure of BeIr2Os.

```
BeIr2Os
1.0
4.4697 0.0000 0.0000
0.0000 4.4697 0.0000
0.0000 0.0000 2.7504
Be Ir Os
1 2 1
Cartesian
0.0000 0.0000 0.0000
0.0000 2.2349 1.3752
2.2349 0.0000 1.3752
2.2349 2.2349 0.0000
```

Computed properties:
Fermi-level density of states = 4.8 states/eV/f.u.
total DFT energy (no corrections) = -7.958 eV/atom
formation energy from the elements = 0.8 eV per formula unit